# 1
A relaxed MnIn2Ir crystal. Source: the Alexandria database, functional PBE-GGA.

POSCAR file:
```
MnIn2Ir
1.0
10.378 0.000 0.000
0.000 3.047 0.000
-1.407 0.000 4.546
Mn In Ir
2 4 2
direct
0.000 0.000 0.000 Mn
0.500 0.500 0.000 Mn
0.042 0.500 0.534 In
0.255 0.500 0.186 In
0.542 0.000 0.534 In
0.755 0.000 0.186 In
0.295 0.000 0.713 Ir
0.795 0.500 0.713 Ir
```

total magnetization = 7.17 μB per cell
DFT formation energy = 0.072 eV per atom
DOS at the Fermi energy = 3.6 states/eV per cell
crystal system = monoclinic
total DFT energy (no corrections) = -5.805 eV/atom


# 2
A relaxed Rb3U3PbSe8 crystal. Source: the Alexandria database, functional PBE-GGA.

POSCAR file:
```
Rb3U3PbSe8
1.0
4.289 2.476 8.000
-4.289 2.476 8.000
0.000 -4.953 8.000
Rb U Pb Se
3 3 1 8
direct
0.000 0.500 0.500 Rb
0.500 0.000 0.500 Rb
0.500 0.500 0.000 Rb
0.000 0.000 0.500 U
0.000 0.500 0.000 U
0.500 0.000 0.000 U
0.500 0.500 0.500 Pb
0.209 0.743 0.743 Se
0.232 0.232 0.232 Se
0.257 0.257 0.791 Se
0.257 0.791 0.257 Se
0.743 0.209 0.743 Se
0.743 0.743 0.209 Se
0.768 0.768 0.768 Se
0.791 0.257 0.257 Se
```

total magnetization = 7.00 μB per cell
DOS at the Fermi energy = 10.3 states/eV per cell
crystal system = trigonal
total DFT energy (no corrections) = -5.716 eV/atom


# 3
A relaxed AcBiRh crystal. Source: the Alexandria database, functional PBE-GGA.

POSCAR file:
```
AcBiRh
1.0
2.163 1.249 11.035
-2.163 1.249 11.035
0.000 -2.497 11.035
Ac Bi Rh
2 2 2
direct
0.116 0.116 0.116 Ac
0.884 0.884 0.884 Ac
0.296 0.296 0.296 Bi
0.704 0.704 0.704 Bi
0.000 0.000 0.000 Rh
0.500 0.500 0.500 Rh
```

total magnetization = 0.00 μB per cell
DFT formation energy = -0.536 eV per atom
DOS at the Fermi energy = 4.3 states/eV per cell
crystal system = trigonal
total DFT energy (no corrections) = -5.650 eV/atom


# 4
A relaxed Ac2Nd3Ga2 crystal. Source: the Alexandria database, functional PBE-GGA.

POSCAR file:
```
Ac2Nd3Ga2
1.0
12.720 0.000 0.000
0.000 4.496 0.000
-3.498 0.000 8.140
Ac Nd Ga
4 6 4
direct
0.151 0.000 0.304 Ac
0.349 0.500 0.696 Ac
0.651 0.500 0.304 Ac
0.849 0.000 0.696 Ac
0.000 0.500 0.500 Nd
0.130 0.500 0.943 Nd
0.370 0.000 0.057 Nd
0.500 0.000 0.500 Nd
0.630 0.000 0.943 Nd
0.870 0.500 0.057 Nd
0.159 0.000 0.716 Ga
0.341 0.500 0.284 Ga
0.659 0.500 0.716 Ga
0.841 0.000 0.284 Ga
```

total magnetization = 0.00 μB per cell
DFT formation energy = -0.274 eV per atom
DOS at the Fermi energy = 20.6 states/eV per cell
crystal system = monoclinic
total DFT energy (no corrections) = -4.356 eV/atom


# 5
A relaxed Si2TcAs crystal. Source: the Alexandria database, functional PBE-GGA.

POSCAR file:
```
Si2TcAs
1.0
3.281 0.000 0.000
0.000 4.611 0.000
0.000 0.000 7.799
Si Tc As
4 2 2
direct
0.000 0.000 0.000 Si
0.000 0.500 0.273 Si
0.500 0.000 0.773 Si
0.500 0.500 0.500 Si
0.000 0.500 0.754 Tc
0.500 0.000 0.254 Tc
0.000 0.000 0.537 As
0.500 0.500 0.037 As
```

total magnetization = 0.00 μB per cell
DOS at the Fermi energy = 3.4 states/eV per cell
crystal system = orthorhombic
total DFT energy (no corrections) = -6.263 eV/atom


# 6
A relaxed AcNd2ZrN4 crystal. Source: the Alexandria database, functional PBE-GGA.

POSCAR file:
```
AcNd2ZrN4
1.0
-3.605 3.616 5.115
3.605 -3.616 5.115
3.605 3.616 -5.115
Ac Nd Zr N
2 4 2 8
direct
0.000 0.000 0.000 Ac
0.500 0.000 0.500 Ac
0.000 0.500 0.500 Nd
0.500 0.000 0.000 Nd
0.500 0.500 0.000 Nd
0.500 0.500 0.500 Nd
0.000 0.000 0.500 Zr
0.000 0.500 0.000 Zr
0.225 0.746 0.479 N
0.227 0.237 0.510 N
0.227 0.718 0.990 N
0.233 0.254 0.979 N
0.767 0.746 0.021 N
0.773 0.282 0.010 N
0.773 0.763 0.490 N
0.775 0.254 0.521 N
```

total magnetization = 0.00 μB per cell
DOS at the Fermi energy = 3.4 states/eV per cell
crystal system = orthorhombic
total DFT energy (no corrections) = -8.208 eV/atom


# 7
A relaxed Mn5Fe crystal. Source: the Alexandria database, functional PBE-GGA.

POSCAR file:
```
Mn5Fe
1.0
9.065 0.000 0.000
0.000 2.478 0.000
-1.471 0.000 5.684
Mn Fe
10 2
direct
0.000 0.000 0.000 Mn
0.056 0.000 0.614 Mn
0.169 0.500 0.335 Mn
0.226 0.500 0.944 Mn
0.390 0.000 0.281 Mn
0.500 0.500 0.000 Mn
0.556 0.500 0.614 Mn
0.669 0.000 0.335 Mn
0.726 0.000 0.944 Mn
0.890 0.500 0.281 Mn
0.335 0.000 0.669 Fe
0.835 0.500 0.669 Fe
```

total magnetization = 0.05 μB per cell
DFT formation energy = 0.045 eV per atom
DOS at the Fermi energy = 15.4 states/eV per cell
crystal system = monoclinic
total DFT energy (no corrections) = -9.006 eV/atom


# 8
A relaxed CeAgC2O6 crystal. Source: the Alexandria database, functional PBE-GGA.

POSCAR file:
```
CeAgC2O6
1.0
4.890 -4.536 0.000
4.890 4.536 0.000
-3.884 0.000 6.438
Ce Ag C O
2 2 4 12
direct
0.096 0.904 0.750 Ce
0.904 0.096 0.250 Ce
0.427 0.573 0.250 Ag
0.573 0.427 0.750 Ag
0.116 0.375 0.788 C
0.375 0.116 0.288 C
0.625 0.884 0.712 C
0.884 0.625 0.212 C
0.008 0.788 0.374 O
0.132 0.560 0.780 O
0.212 0.992 0.126 O
0.221 0.331 0.953 O
0.331 0.221 0.453 O
0.440 0.868 0.720 O
0.560 0.132 0.280 O
0.669 0.779 0.547 O
0.779 0.669 0.047 O
0.788 0.008 0.874 O
0.868 0.440 0.220 O
0.992 0.212 0.626 O
```

total magnetization = 2.00 μB per cell
DOS at the Fermi energy = 9.2 states/eV per cell
crystal system = monoclinic
total DFT energy (no corrections) = -7.437 eV/atom


# 9
A relaxed Tb5Nd3Sc2 crystal. Source: the Alexandria database, functional PBE-GGA.

POSCAR file:
```
Tb5Nd3Sc2
1.0
9.175 0.000 0.000
-2.893 8.715 0.000
-3.143 -4.356 8.027
Tb Nd Sc
10 6 4
direct
0.024 0.274 0.048 Tb
0.105 0.373 0.720 Tb
0.219 0.469 0.438 Tb
0.281 0.031 0.562 Tb
0.385 0.153 0.280 Tb
0.615 0.847 0.720 Tb
0.719 0.969 0.438 Tb
0.781 0.531 0.562 Tb
0.895 0.627 0.280 Tb
0.976 0.726 0.952 Tb
0.027 0.979 0.749 Nd
0.278 0.730 0.251 Nd
0.485 0.235 0.970 Nd
0.515 0.765 0.030 Nd
0.722 0.270 0.749 Nd
0.973 0.021 0.251 Nd
0.218 0.763 0.727 Sc
0.491 0.536 0.272 Sc
0.509 0.464 0.728 Sc
0.782 0.237 0.273 Sc
```

total magnetization = 0.00 μB per cell
DFT formation energy = 0.183 eV per atom
DOS at the Fermi energy = 33.8 states/eV per cell
crystal system = triclinic
total DFT energy (no corrections) = -4.829 eV/atom


# 10
A relaxed Ce2NiAs4Pt3 crystal. Source: the Alexandria database, functional PBE-GGA.

POSCAR file:
```
Ce2NiAs4Pt3
1.0
4.422 0.000 0.000
0.000 4.422 0.000
0.000 0.000 9.804
Ce Ni As Pt
2 1 4 3
direct
0.000 0.500 0.243 Ce
0.500 0.000 0.757 Ce
0.500 0.500 0.000 Ni
0.000 0.000 0.500 As
0.000 0.500 0.876 As
0.500 0.000 0.124 As
0.500 0.500 0.500 As
0.000 0.000 0.000 Pt
0.000 0.500 0.624 Pt
0.500 0.000 0.376 Pt
```

total magnetization = 1.58 μB per cell
DFT formation energy = -0.830 eV per atom
DOS at the Fermi energy = 13.6 states/eV per cell
crystal system = tetragonal
total DFT energy (no corrections) = -6.267 eV/atom


# 11
A relaxed TcAgRu2 crystal. Source: the Alexandria database, functional PBE-GGA.

POSCAR file:
```
TcAgRu2
1.0
4.777 0.000 0.000
0.000 2.739 0.000
-1.713 0.000 4.530
Tc Ag Ru
1 1 2
direct
0.000 0.000 0.000 Tc
0.000 0.500 0.500 Ag
0.500 0.000 0.500 Ru
0.500 0.500 0.000 Ru
```

total magnetization = 0.00 μB per cell
DFT formation energy = 0.497 eV per atom
DOS at the Fermi energy = 5.2 states/eV per cell
crystal system = monoclinic
total DFT energy (no corrections) = -7.445 eV/atom


# 12
A relaxed Sn2HgI4 crystal. Source: the Alexandria database, functional PBE-GGA.

POSCAR file:
```
Sn2HgI4
1.0
17.006 0.000 0.000
0.000 4.218 0.000
-8.208 0.000 9.465
Sn Hg I
4 2 8
direct
0.078 0.000 0.331 Sn
0.422 0.500 0.669 Sn
0.578 0.500 0.331 Sn
0.922 0.000 0.669 Sn
0.000 0.000 0.500 Hg
0.500 0.500 0.500 Hg
0.095 0.500 0.852 I
0.204 0.500 0.305 I
0.296 0.000 0.695 I
0.405 0.000 0.148 I
0.595 0.000 0.852 I
0.704 0.000 0.305 I
0.796 0.500 0.695 I
0.905 0.500 0.148 I
```

total magnetization = 0.00 μB per cell
crystal system = monoclinic
total DFT energy (no corrections) = -2.413 eV/atom